CoNiMo: relaxed, PBE.

The crystal system is orthorhombic. The calculation puts the total moment at 0.0 μB/f.u. The energy of formation is -0.06 eV/f.u. The calculation puts the energy above the most stable polymorph in this dataset at 0 meV per atom.

The space group is Imm2 (No. 44) and the conventional cell measures 2.613, 3.643 and 7.743 Å, with angles of 90.00, 90.00 and 90.00 degrees. The distinct sites, in fractional coordinates, are Co at (0.000, 0.000, 0.000), Ni at (0.000, 0.000, 0.660) and Mo at (0.000, 0.000, 0.332).


CoNiMo2: relaxed, PBE.

The crystal system is monoclinic. The calculation puts the total moment at 0.0 μB/f.u. The energy of formation is 0.03 eV/f.u. The calculation puts the energy above the most stable polymorph in this dataset at 11 meV per atom.

The space group is P2/m (No. 10) and the conventional cell measures 2.645, 3.754 and 5.296 Å, with angles of 90.00, 90.23 and 90.00 degrees. The distinct sites, in fractional coordinates, are Co at (0.000, 0.000, 0.000), Ni at (0.000, 0.000, 0.500) and Mo at (0.500, 0.500, 0.247).


CoNiMo: relaxed, PBE.

The crystal system is trigonal. The calculation puts the total moment at 1.0 μB/f.u. The energy of formation is 0.58 eV/f.u. The calculation puts the energy above the most stable polymorph in this dataset at 215 meV per atom.

The space group is P3m1 (No. 156) and the conventional cell measures 2.6429, 2.6429 and 6.3014 Å, with angles of 90.00, 90.00 and 120.00 degrees. The distinct sites, in fractional coordinates, are Co at (0.0000, 0.0000, 0.0000), Ni at (0.3333, 0.6667, 0.6824) and Mo at (0.6667, 0.3333, 0.3357).


CoNi3Mo: relaxed, PBE.

The crystal system is monoclinic. The calculation puts the total moment at 1.4 μB/f.u. The energy of formation is -0.14 eV/f.u. The calculation puts the energy above the most stable polymorph in this dataset at 0 meV per atom.

The space group is Cm (No. 8) and the conventional cell measures 8.069, 3.572 and 5.701 Å, with angles of 90.00, 134.52 and 90.00 degrees. The distinct sites, in fractional coordinates, are Co at (0.000, 0.000, 0.000), Ni at (0.200, 0.000, 0.595), Ni at (0.297, 0.500, 0.398), Ni at (0.401, 0.000, 0.201) and Mo at (0.100, 0.500, 0.802).


Co6NiMo: relaxed, PBE.

The crystal system is orthorhombic. The calculation puts the total moment at 7.2 μB/f.u. The energy of formation is 0.34 eV/f.u.

The space group is Cmmm (No. 65) and the conventional cell measures 7.125, 10.096 and 10.080 Å, with angles of 90.00, 90.00 and 90.00 degrees. The distinct sites, in fractional coordinates, are Co at (0.000, 0.000, 0.000), Co at (0.000, 0.000, 0.500), Co at (0.000, 0.247, 0.245), Co at (0.000, 0.500, 0.000), Co at (0.000, 0.500, 0.500), Co at (0.245, 0.127, 0.123), Co at (0.246, 0.123, 0.374), Ni at (0.000, 0.000, 0.246), Ni at (0.000, 0.254, 0.000), Mo at (0.000, 0.256, 0.500) and Mo at (0.000, 0.500, 0.251).


CoNiMo2: relaxed, PBE.

The crystal system is cubic. The calculation puts the total moment at 1.6 μB/f.u. The energy of formation is 1.10 eV/f.u. The calculation puts the energy above the most stable polymorph in this dataset at 278 meV per atom.

The space group is Fm-3m (No. 225) and the conventional cell measures 5.998, 5.998 and 5.998 Å, with angles of 90.00, 90.00 and 90.00 degrees. The distinct sites, in fractional coordinates, are Co at (0.000, 0.000, 0.000), Ni at (0.000, 0.000, 0.500) and Mo at (0.250, 0.250, 0.250).


CoNiMo2: relaxed, PBE.

The crystal system is monoclinic. The calculation puts the total moment at 0.0 μB/f.u. The energy of formation is -0.01 eV/f.u. The calculation puts the energy above the most stable polymorph in this dataset at 0 meV per atom.

The space group is Pm (No. 6) and the conventional cell measures 2.653, 4.266 and 4.636 Å, with angles of 90.00, 90.08 and 90.00 degrees. The distinct sites, in fractional coordinates, are Co at (0.000, 0.000, 0.000), Ni at (0.001, 0.500, 0.325), Mo at (0.499, 0.500, 0.839) and Mo at (0.502, 0.000, 0.483).


Co3Ni4Mo: relaxed, PBE.

The crystal system is tetragonal. The calculation puts the total moment at 4.9 μB/f.u. The energy of formation is 0.10 eV/f.u.

The space group is I4/mmm (No. 139) and the conventional cell measures 3.526, 3.526 and 14.678 Å, with angles of 90.00, 90.00 and 90.00 degrees. The distinct sites, in fractional coordinates, are Co at (0.000, 0.000, 0.000), Co at (0.000, 0.000, 0.247), Ni at (0.000, 0.500, 0.128) and Mo at (0.000, 0.000, 0.500).


Question: energy of formation of number 6 (CoNiMo2)?
Answer: 1.10 eV/f.u.